## w
Tb7NdHo12 (PBE-GGA, optimized geometry); volume = 32.111 A^3/atom
1.0
8.561 0.744 1.116
-1.666 8.430 1.116
-1.666 -2.217 8.209
Tb Nd Ho
7 1 12
Cartesian
5.141 3.963 9.826
2.851 0.215 1.083
-0.586 -0.078 3.000
2.614 3.478 5.221
5.815 7.035 7.442
2.377 6.742 9.359
0.088 2.994 0.616
0.000 0.000 0.000
5.391 1.212 6.769
5.564 2.835 2.745
3.154 0.670 4.093
5.462 4.418 5.898
1.176 0.171 6.717
2.725 2.948 8.248
2.503 4.008 2.194
4.053 6.785 3.725
-0.234 2.538 4.544
2.074 6.287 6.349
-0.335 4.122 7.697
-0.162 5.745 3.673

=====

## x
Tb7NdHo12 (PBE-GGA, optimized geometry); volume = 35.316 A^3/atom
1.0
-8.105 4.964 -2.024
-0.636 -8.925 -3.790
1.084 -0.643 9.635
Tb Nd Ho
7 1 12
Cartesian
-4.370 -1.980 -2.907
0.224 -4.784 2.922
-3.511 2.161 3.806
-3.829 -2.302 1.910
0.542 -0.321 4.818
-4.052 2.482 -1.012
-0.318 -4.462 -1.895
0.000 0.000 0.000
-3.661 -4.697 3.362
-0.204 -6.824 -0.385
-3.997 0.094 0.459
-7.453 2.221 4.206
-6.409 -5.379 -2.858
-5.552 -1.174 3.816
-1.249 0.776 6.678
-2.106 -3.429 0.005
-5.992 -3.269 0.409
-1.665 -1.334 3.412
-6.212 1.441 -2.468
-1.445 -6.044 6.289

=====

Stability check: which of them is least stable? x.

=====

## w
Tb2Nd2Ho3 (PBE-GGA, optimized geometry); volume = 33.140 A^3/atom
1.0
-7.874 2.910 0.942
0.174 -5.678 -6.251
2.534 -3.645 7.186
Tb Nd Ho
4 4 6
Cartesian
1.059 -1.524 3.004
-2.597 -2.742 1.451
-4.360 0.929 0.625
-7.142 -0.168 -2.261
2.062 -2.967 5.849
-2.528 -4.989 -1.023
0.392 -5.856 0.817
-2.384 -1.926 -2.830
-2.951 -5.682 2.763
-4.885 -1.100 3.179
0.258 -2.481 -0.055
-1.575 -2.548 4.587
-1.308 -5.356 -4.270
-5.038 -2.075 -0.571

=====

## x
Tb2Nd2Ho3 (PBE-GGA, optimized geometry); volume = 32.912 A^3/atom
1.0
3.507 0.000 0.000
0.000 8.738 -0.371
-1.754 -3.373 7.660
Tb Nd Ho
2 2 3
Cartesian
1.754 6.985 1.798
0.000 -1.620 5.492
1.754 4.134 6.144
0.000 1.231 1.146
0.000 4.369 -0.185
0.000 4.164 3.140
1.754 1.202 4.150

=====

Stability check: which of them is least stable? w.

=====

## w
Tb5NdHo (PBE-GGA, optimized geometry); volume = 32.626 A^3/atom
1.0
-2.425 0.051 -6.338
-6.515 -1.500 -1.168
-8.386 10.160 -3.585
Tb Nd Ho
10 2 2
Cartesian
-9.290 7.078 -4.166
-10.257 4.076 -6.747
-4.121 2.368 -3.608
-12.153 6.367 -4.681
-3.009 -0.495 -2.385
-14.318 9.206 -8.707
-5.173 2.344 -6.411
-13.206 6.343 -7.484
-7.070 4.635 -4.345
-8.036 1.633 -6.926
-9.863 7.235 -7.576
-7.463 1.475 -3.516
0.000 0.000 0.000
-4.193 5.080 -1.793

=====

## x
Tb5NdHo (PBE-GGA, optimized geometry); volume = 42.614 A^3/atom
1.0
-3.998 3.846 -1.656
-6.982 -1.431 3.412
-1.735 5.058 5.817
Tb Nd Ho
5 1 1
Cartesian
-4.676 5.816 4.557
-8.039 1.658 3.015
-5.189 3.791 1.092
-7.526 3.683 6.481
-4.359 1.814 4.614
0.000 0.000 0.000
-6.358 3.737 3.786

=====

Stability check: which of them is least stable? x.

=====

## w
Tb2NdHo8 (PBE-GGA, optimized geometry); volume = 31.472 A^3/atom
1.0
5.010 0.000 0.000
0.000 7.913 0.477
-2.505 -2.905 8.557
Tb Nd Ho
2 1 8
Cartesian
2.505 1.293 4.833
0.000 3.715 4.200
2.505 0.000 0.000
0.000 1.924 7.257
2.505 6.130 3.550
2.505 4.359 6.599
2.505 -0.474 7.909
0.000 0.650 2.434
0.000 -1.121 5.484
2.505 3.084 1.776
0.000 5.483 1.124

=====

## x
Tb2NdHo8 (PBE-GGA, optimized geometry); volume = 32.121 A^3/atom
1.0
-4.434 -2.758 1.663
4.598 -6.476 1.521
1.101 7.206 5.855
Tb Nd Ho
2 1 8
Cartesian
2.771 -2.204 3.735
-1.507 0.175 5.304
-2.217 -1.379 0.831
1.364 -5.234 3.987
1.804 0.526 5.682
0.385 0.841 2.422
-1.977 2.538 7.966
0.880 -2.870 6.617
-0.539 -2.555 3.357
-0.099 3.205 5.052
3.242 -4.566 1.073

=====

Stability check: which of them is least stable? x.

=====

## w
Tb8NdHo2 (PBE-GGA, optimized geometry); volume = 32.630 A^3/atom
1.0
5.296 0.000 -1.608
-0.998 7.392 -3.287
-0.053 -0.343 9.351
Tb Nd Ho
8 1 2
Cartesian
2.526 6.150 -1.206
1.308 3.943 4.308
0.686 1.097 2.259
4.948 1.842 6.771
3.559 5.952 2.196
2.937 3.106 0.147
1.719 0.900 5.662
-0.703 5.208 -2.316
2.648 0.000 -0.804
0.338 5.034 1.112
3.908 2.015 3.344

=====

## x
Tb8NdHo2 (PBE-GGA, optimized geometry); volume = 32.667 A^3/atom
1.0
5.642 1.728 0.000
2.727 8.615 0.000
1.363 4.308 8.187
Tb Nd Ho
8 1 2
Cartesian
5.190 3.298 1.980
6.553 7.606 6.207
2.829 4.238 0.000
5.547 9.480 3.365
4.184 5.172 4.822
5.539 6.106 0.000
3.178 7.046 1.980
4.541 11.353 6.207
2.821 0.864 0.000
1.363 4.308 3.119
2.727 8.615 5.068

=====

Stability check: which of them is least stable? x.

=====

## w
Tb7NdHo3 (PBE-GGA, optimized geometry); volume = 33.880 A^3/atom
1.0
-7.592 1.884 -3.579
-0.457 -6.599 -2.504
-2.624 1.550 6.383
Tb Nd Ho
7 1 3
Cartesian
-3.131 0.399 4.481
-1.828 -0.371 1.311
-2.094 -3.656 0.027
-4.244 -4.381 -2.625
-4.017 -1.107 -1.383
-5.546 -3.612 0.541
-3.359 -2.878 3.237
-5.279 -0.328 1.828
-7.494 -1.051 -0.872
-6.186 -1.824 -4.054
-7.722 -4.340 -2.121

=====

## x
Tb7NdHo3 (PBE-GGA, optimized geometry); volume = 32.762 A^3/atom
1.0
-3.186 -2.941 -3.480
8.100 -3.858 -4.154
1.108 -1.084 8.774
Tb Nd Ho
7 1 3
Cartesian
4.818 -6.924 1.432
3.424 -5.630 -2.821
0.937 -3.551 -2.298
5.085 -4.331 3.438
-1.039 -2.012 2.647
2.599 -2.253 3.961
1.205 -0.958 -0.292
3.011 -3.941 0.570
8.055 -5.505 1.714
4.050 -1.929 -2.077
-2.033 -2.377 -0.574

=====

Stability check: which of them is least stable? w.

=====

## w
Tb3Nd4Ho8 (PBE-GGA, optimized geometry); volume = 33.086 A^3/atom
1.0
-2.078 -5.823 -3.199
3.283 -6.013 1.237
-7.049 -6.180 8.254
Tb Nd Ho
3 4 8
Cartesian
-4.564 -6.001 2.527
-3.524 -3.090 4.127
-1.883 -6.096 4.745
0.000 0.000 0.000
-6.575 -10.103 7.513
-2.922 -9.008 3.146
0.730 -7.912 -1.221
-1.574 -4.538 1.708
0.163 -7.513 2.226
-0.881 -10.438 0.619
-2.531 -7.417 -0.003
-4.270 -13.478 4.584
-6.007 -10.503 4.066
-4.963 -7.577 5.673
-3.313 -10.598 6.295

=====

## x
Tb3Nd4Ho8 (PBE-GGA, optimized geometry); volume = 33.580 A^3/atom
1.0
-4.146 0.467 -5.318
3.155 -8.676 1.094
-4.741 -1.194 7.907
Tb Nd Ho
3 4 8
Cartesian
-0.495 -4.105 -2.112
-4.443 -0.363 1.295
-2.866 -4.701 1.842
-2.073 0.233 -2.659
1.577 -4.338 0.547
0.000 0.000 0.000
-2.371 -0.597 3.954
-2.596 -2.397 -0.376
0.299 -5.970 3.558
-0.448 -2.665 2.407
-0.938 -6.528 0.178
-4.794 -2.875 3.505
-5.284 -6.738 1.276
-1.885 -3.900 5.443
-3.136 -7.006 4.060

=====

Stability check: which of them is least stable? x.

=====

## w
TbNd12Ho6 (PBE-GGA, optimized geometry); volume = 34.403 A^3/atom
1.0
-3.849 -1.416 -7.650
5.747 -6.214 -1.924
-5.127 -6.057 3.518
Tb Nd Ho
1 12 6
Cartesian
0.000 0.000 0.000
-2.149 -7.063 -5.486
0.075 -8.717 -2.934
-3.579 -8.186 -2.186
-1.079 -6.624 -0.571
-3.303 -4.970 -3.123
0.351 -5.501 -3.871
-0.817 -3.429 0.766
-4.476 -11.047 -3.939
-0.941 -11.886 -3.927
-2.411 -10.257 -6.823
1.248 -2.640 -2.118
-2.287 -1.801 -2.130
0.804 -8.443 -6.359
-1.728 -3.207 -5.530
2.333 -6.080 -1.202
-4.032 -5.244 0.302
-1.500 -10.480 -0.527
-5.561 -7.607 -4.855

=====

## x
TbNd12Ho6 (PBE-GGA, optimized geometry); volume = 33.705 A^3/atom
1.0
-9.331 2.200 -0.192
2.650 -4.373 -8.111
2.082 -5.408 7.639
Tb Nd Ho
1 12 6
Cartesian
0.000 0.000 0.000
-2.107 -2.566 3.903
1.785 -4.421 -1.880
-4.311 -0.652 -2.692
-2.492 -5.015 -4.567
-6.384 -3.161 1.216
-0.288 -6.930 2.028
0.977 -4.445 4.336
1.676 -7.897 -0.877
-5.303 -4.139 4.548
-5.576 -3.137 -5.000
-6.275 0.315 0.213
0.704 -3.443 -5.212
-0.172 -3.471 0.991
-3.333 -5.058 1.593
-1.421 -5.968 -1.263
-4.427 -4.110 -1.655
-1.266 -2.524 -2.257
-3.178 -1.614 0.599

=====

Stability check: which of them is least stable? w.